# 1
Li2Nb2Ga | SCAN | PBEsol geometry

It has space group I4/mmm (No. 139), with a = 3.836 Å, b = 3.836 Å, c = 10.764 Å, α = 90.00°, β = 90.00° and γ = 90.00°. Symmetry generates all atoms from Li at (0.000, 0.000, 0.083), Nb at (0.000, 0.500, 0.250) and Ga at (0.000, 0.000, 0.500).

For the total energy, the calculation gives -85.1 eV per formula unit. The total magnetization comes out at 0.0000 μB/atom. As for the calculated volume: 158 Å³ per cell.

# 2
Li2NdGa | SCAN | PBEsol geometry

It has space group Fm-3m (No. 225), with a = 6.671 Å, b = 6.671 Å, c = 6.671 Å, α = 90.00°, β = 90.00° and γ = 90.00°. Symmetry generates all atoms from Li at (0.250, 0.250, 0.250), Nd at (0.000, 0.000, 0.000) and Ga at (0.000, 0.000, 0.500).

For the total energy, the calculation gives -66.0 eV per formula unit. The total magnetization comes out at 0.0000 μB/atom. As for the calculated volume: 297 Å³ per cell.